GaCu2SnB: relaxed, PBE-GGA.

a = 4.2268 Å, b = 4.2268 Å, c = 4.3061 Å
α = 90.00°, β = 90.00°, γ = 90.00°
Space group P4/mmm (No. 123)
Unique sites:
Ga: 0.0000 0.0000 0.0000
Cu: 0.0000 0.5000 0.5000
Sn: 0.5000 0.5000 0.0000
B: 0.0000 0.0000 0.5000

Output
The value obtained for the formation energy is 0.354 eV/atom. The magnetization comes out at 0.0 μB per formula unit. The value obtained for the electronic total energy is -0.296 Ry/atom. For the density of states at the Fermi level, the calculation gives 1.8 states/eV/f.u. Its crystal system is tetragonal.